VASP calculation (PBE) on a relaxed structure of TaAgAs2.

Lattice parameters (Å, degrees): 6.0229 6.0229 11.4296 90.00 90.00 90.00
Space group I-42d (No. 122)
Unique sites:
Ta  0.0000  0.0000  0.0000
Ag  0.0000  0.0000  0.5000
As  0.2278  0.2500  0.1250

The total energy comes out at -93.23 eV per cell. For the spin magnetization, the calculation gives 0.0 μB/cell.